[1]
Material: Cu2Ag5
Method: DFT, PBE
State: optimized geometry

Cell: 4.965 4.965 8.285 Å, 93.42 93.42 33.67°
Fractional coordinates of all 7 atoms:
Ag  0.279  0.279  0.155
Ag  0.443  0.443  0.687
Ag  0.000  0.000  0.000
Ag  0.721  0.721  0.845
Ag  0.557  0.557  0.313
Cu  0.160  0.160  0.569
Cu  0.840  0.840  0.431

Values from the calculation:
formation energy: 0.054 eV/atom
polymorph energy (0 for the lowest one): 18 meV/atom
crystal system: monoclinic
E: -3.026 eV/atom


[2]
Material: Cu4Ag5
Method: DFT, PBE
State: optimized geometry

Cell: 2.818 2.818 20.143 Å, 90.00 90.00 120.00°
Fractional coordinates of all 9 atoms:
Cu  0.333  0.667  0.205
Cu  0.333  0.667  0.890
Cu  0.667  0.333  0.795
Cu  0.667  0.333  0.110
Ag  0.000  0.000  0.000
Ag  0.333  0.667  0.561
Ag  0.000  0.000  0.315
Ag  0.000  0.000  0.685
Ag  0.667  0.333  0.439

Values from the calculation:
formation energy: 0.090 eV/atom
polymorph energy (0 for the lowest one): 53 meV/atom
crystal system: trigonal
E: -3.131 eV/atom


[3]
Material: Cu7Ag2
Method: DFT, PBE
State: optimized geometry

Cell: 4.621 4.621 6.446 Å, 90.00 90.00 120.00°
Fractional coordinates of all 9 atoms:
Cu  0.327  0.000  0.156
Cu  0.000  0.673  0.844
Cu  0.673  0.000  0.844
Cu  0.000  0.327  0.156
Cu  0.673  0.673  0.156
Cu  0.327  0.327  0.844
Cu  0.000  0.000  0.500
Ag  0.333  0.667  0.500
Ag  0.667  0.333  0.500

Values from the calculation:
formation energy: 0.086 eV/atom
polymorph energy (0 for the lowest one): 40 meV/atom
crystal system: trigonal
E: -3.433 eV/atom


[4]
Material: CuAg2
Method: DFT, PBE
State: optimized geometry

Cell: 6.112 6.112 8.758 Å, 104.00 104.00 26.94°
Fractional coordinates of all 9 atoms:
Ag  0.685  0.685  0.567
Ag  0.662  0.662  0.885
Ag  0.342  0.342  0.106
Ag  0.664  0.664  0.216
Ag  0.000  0.000  0.346
Ag  0.982  0.982  0.662
Cu  0.997  0.997  0.989
Cu  0.329  0.329  0.433
Cu  0.339  0.339  0.796

Values from the calculation:
formation energy: 0.075 eV/atom
polymorph energy (0 for the lowest one): 44 meV/atom
crystal system: monoclinic
E: -3.047 eV/atom


[5]
Material: Cu7Ag2
Method: DFT, PBE
State: optimized geometry

Cell: 6.809 6.809 7.482 Å, 118.95 118.95 23.19°
Fractional coordinates of all 9 atoms:
Ag  0.779  0.779  0.687
Ag  0.221  0.221  0.313
Cu  0.449  0.449  0.673
Cu  0.000  0.000  0.000
Cu  0.551  0.551  0.327
Cu  0.099  0.099  0.651
Cu  0.901  0.901  0.349
Cu  0.660  0.660  0.967
Cu  0.340  0.340  0.033

Values from the calculation:
formation energy: 0.073 eV/atom
polymorph energy (0 for the lowest one): 27 meV/atom
crystal system: monoclinic
E: -3.446 eV/atom


[6]
Material: Cu4Ag3
Method: DFT, PBE
State: optimized geometry

Cell: 4.787 4.787 7.998 Å, 93.81 93.81 33.54°
Fractional coordinates of all 7 atoms:
Cu  0.281  0.281  0.142
Cu  0.719  0.719  0.858
Cu  0.843  0.843  0.417
Cu  0.157  0.157  0.583
Ag  0.566  0.566  0.305
Ag  0.434  0.434  0.695
Ag  0.000  0.000  0.000

Values from the calculation:
formation energy: 0.100 eV/atom
polymorph energy (0 for the lowest one): 51 meV/atom
crystal system: monoclinic
E: -3.235 eV/atom